Entry from Alexandria: a geometry-optimized NaHf2MoO8 structure (PBE with a Hubbard U).

It has space group Cmmm (No. 65), with a = 6.801 Å, b = 6.926 Å, c = 6.564 Å, α = 90.00°, β = 90.00° and γ = 90.00°. Symmetry generates all atoms from Na at (0.000, 0.000, 0.000), Hf at (0.000, 0.500, 0.238), Mo at (0.000, 0.000, 0.500), O at (0.000, 0.291, 0.500), O at (0.000, 0.319, 0.000) and O at (0.200, 0.000, 0.294).

Its energy is -8.047 eV/atom.